Below is an optimized crystal structure of La6PbSe4, with properties calculated at the PBE level.

mass density: 6.60 Mg/m³
raw formation energy: -36.0 kcal/mol of atoms
size of the total moment: 3.86 Bohr magnetons per cell
crystal system: orthorhombic

Cell lengths 4.415, 14.096, 21.926 Å; angles 90.00, 90.00, 90.00 degrees
Space group Cmcm (No. 63)
Symmetry-distinct sites (fractional):
La1 0.000 0.000 0.000 [4 per cell]
La2 0.000 0.168 0.250 [4 per cell]
La3 0.000 0.270 0.585 [8 per cell]
La4 0.000 0.457 0.161 [8 per cell]
Pb1 0.000 0.160 0.750 [4 per cell]
Se1 0.000 0.094 0.124 [8 per cell]
Se2 0.000 0.362 0.039 [8 per cell]